No. 1
Material: FePt2Rh
Method: DFT, meta-GGA SCAN
State: PBEsol geometry

The value obtained for the raw total energy is -48.269 eV/atom. As for the space group: C2/m.

abc: 2.7051 4.6722 4.6804
angles: 100.07 106.80 90.00
Sites, in units of the cell vectors:
1 Rh 0.5000 0.0000 0.0000
2 Pt 0.2532 0.2522 0.5064
3 Pt 0.7468 0.7478 0.4936
4 Fe 0.0000 0.5000 0.0000

No. 2
Material: YTlMo2
Method: DFT, meta-GGA SCAN
State: PBEsol geometry

The value obtained for the raw total energy is -42.151 eV/atom. As for the space group: Cmm2. The calculation puts the energy above the most stable polymorph in this dataset at 0.017 eV/atom.

abc: 3.0266 3.0266 9.4097
angles: 90.00 90.00 112.46
Sites, in units of the cell vectors:
1 Y 0.5000 0.5000 0.2272
2 Mo 0.0000 0.0000 0.9742
3 Mo 0.5000 0.5000 0.7783
4 Tl 0.0000 0.0000 0.5203

No. 3
Material: Li2BeIr
Method: DFT, meta-GGA SCAN
State: PBEsol geometry

The value obtained for the raw total energy is -20.380 eV/atom. As for the space group: P4mm.

abc: 2.9616 2.9616 6.2274
angles: 90.00 90.00 90.00
Sites, in units of the cell vectors:
1 Li 0.5000 0.5000 0.2890
2 Li 0.0000 0.0000 0.9489
3 Be 0.0000 0.0000 0.5676
4 Ir 0.5000 0.5000 0.6945

No. 4
Material: CuSb2TeSe
Method: DFT, meta-GGA SCAN
State: PBEsol geometry

The value obtained for the raw total energy is -28.872 eV/atom. As for the space group: P4/mmm. As for the uncorrected formation energy: 0.538 eV/atom.

abc: 4.9184 5.0469 5.0469
angles: 90.00 90.00 90.00
Sites, in units of the cell vectors:
1 Se 0.5000 0.5000 0.5000
2 Cu 0.0000 0.0000 0.0000
3 Sb 0.0000 0.0000 0.5000
4 Sb 0.0000 0.5000 0.0000
5 Te 0.5000 0.0000 0.0000

No. 5
Material: ZrTaRe2
Method: DFT, meta-GGA SCAN
State: PBEsol geometry

The value obtained for the raw total energy is -59.816 eV/atom. As for the space group: R-3m.

abc: 3.0528 3.0528 8.6247
angles: 79.81 79.81 60.00
Sites, in units of the cell vectors:
1 Zr 0.0000 0.0000 0.0000
2 Re 0.7531 0.7531 0.7407
3 Re 0.2469 0.2469 0.2593
4 Ta 0.5000 0.5000 0.5000

No. 6
Material: Mg2CdAs
Method: DFT, meta-GGA SCAN
State: PBEsol geometry

The value obtained for the raw total energy is -15.332 eV/atom. As for the space group: I-4m2. The calculation puts the energy above the most stable polymorph in this dataset at 0.067 eV/atom.

abc: 4.0657 4.0657 5.6445
angles: 111.11 111.11 90.00
Sites, in units of the cell vectors:
1 Cd 0.2500 0.7500 0.5000
2 Mg 0.7500 0.2500 0.5000
3 Mg 0.0000 0.0000 0.0000
4 As 0.5000 0.5000 0.0000

No. 7
Material: YIrS2N
Method: DFT, meta-GGA SCAN
State: PBEsol geometry

The value obtained for the raw total energy is -26.155 eV/atom. As for the space group: P4/mmm. The calculation puts the energy above the most stable polymorph in this dataset at 0.000 eV/atom. As for the uncorrected formation energy: -0.657 eV/atom.

abc: 3.6906 4.8152 4.8152
angles: 90.00 90.00 90.00
Sites, in units of the cell vectors:
1 S 0.0000 0.0000 0.5000
2 S 0.0000 0.5000 0.0000
3 Y 0.5000 0.5000 0.5000
4 N 0.5000 0.0000 0.0000
5 Ir 0.0000 0.0000 0.0000

No. 8
Material: TlRu3
Method: DFT, meta-GGA SCAN
State: PBEsol geometry

The value obtained for the raw total energy is -43.648 eV/atom. As for the space group: C2/m. The calculation puts the energy above the most stable polymorph in this dataset at 0.047 eV/atom.

abc: 2.8238 4.7478 4.8432
angles: 99.88 90.00 107.30
Sites, in units of the cell vectors:
1 Tl 0.0000 0.0000 0.0000
2 Ru 0.2388 0.4775 0.7176
3 Ru 0.7612 0.5225 0.2824
4 Ru 0.5000 0.0000 0.5000

No. 9
Material: CdP2H4O8
Method: DFT, meta-GGA SCAN
State: PBEsol geometry

The value obtained for the raw total energy is -9.416 eV/atom. As for the space group: R-3.

abc: 10.1524 10.1524 10.1524
angles: 94.70 94.70 94.70
Sites, in units of the cell vectors:
1 H 0.8757 0.2806 0.0713
2 H 0.6849 0.4490 0.3967
3 H 0.1771 0.8700 0.9520
4 H 0.0480 0.8229 0.1300
5 H 0.1243 0.7194 0.9287
6 H 0.6595 0.4292 0.2438
7 H 0.1300 0.0480 0.8229
8 H 0.9520 0.1771 0.8700
9 H 0.3405 0.5708 0.7562
10 H 0.3151 0.5510 0.6033
11 H 0.2438 0.6595 0.4292
12 H 0.0713 0.8757 0.2806
13 H 0.5510 0.6033 0.3151
14 H 0.2806 0.0713 0.8757
15 H 0.5708 0.7562 0.3405
16 H 0.8700 0.9520 0.1771
17 H 0.7562 0.3405 0.5708
18 H 0.4292 0.2438 0.6595
19 H 0.3967 0.6849 0.4490
20 H 0.6033 0.3151 0.5510
21 H 0.4490 0.3967 0.6849
22 H 0.7194 0.9287 0.1243
23 H 0.9287 0.1243 0.7194
24 H 0.8229 0.1300 0.0480
25 O 0.2572 0.2984 0.9037
26 O 0.1610 0.3871 0.1068
27 O 0.2984 0.9037 0.2572
28 O 0.3458 0.1220 0.3994
29 O 0.6711 0.4613 0.9990
30 O 0.7446 0.7997 0.3932
31 O 0.4975 0.1754 0.9648
32 O 0.0002 0.1541 0.7899
33 O 0.9990 0.6711 0.4613
34 O 0.8780 0.6006 0.6542
35 O 0.9037 0.2572 0.2984
36 O 0.6068 0.2554 0.2003
37 O 0.5020 0.3168 0.6782
38 O 0.4980 0.6832 0.3218
39 O 0.1220 0.3994 0.3458
40 O 0.3289 0.5387 0.0010
41 O 0.6782 0.5020 0.3168
42 O 0.2554 0.2003 0.6068
43 O 0.5025 0.8246 0.0352
44 O 0.5387 0.0010 0.3289
45 O 0.6129 0.8932 0.8390
46 O 0.6542 0.8780 0.6006
47 O 0.6006 0.6542 0.8780
48 O 0.3932 0.7446 0.7997
49 O 0.8390 0.6129 0.8932
50 O 0.8246 0.0352 0.5025
51 O 0.8459 0.2101 0.9998
52 O 0.7016 0.0963 0.7428
53 O 0.0352 0.5025 0.8246
54 O 0.3168 0.6782 0.5020
55 O 0.7428 0.7016 0.0963
56 O 0.9998 0.8459 0.2101
57 O 0.7997 0.3932 0.7446
58 O 0.4613 0.9990 0.6711
59 O 0.1754 0.9648 0.4975
60 O 0.1068 0.1610 0.3871
61 O 0.3994 0.3458 0.1220
62 O 0.0010 0.3289 0.5387
63 O 0.6832 0.3218 0.4980
64 O 0.8932 0.8390 0.6129
65 O 0.0963 0.7428 0.7016
66 O 0.3218 0.4980 0.6832
67 O 0.1541 0.7899 0.0002
68 O 0.9648 0.4975 0.1754
69 O 0.3871 0.1068 0.1610
70 O 0.7899 0.0002 0.1541
71 O 0.2003 0.6068 0.2554
72 O 0.2101 0.9998 0.8459
73 P 0.6025 0.9782 0.7122
74 P 0.2191 0.1074 0.4841
75 P 0.1074 0.4841 0.2191
76 P 0.2878 0.3975 0.0218
77 P 0.9782 0.7122 0.6025
78 P 0.3975 0.0218 0.2878
79 P 0.5159 0.7809 0.8926
80 P 0.7122 0.6025 0.9782
81 P 0.7809 0.8926 0.5159
82 P 0.8926 0.5159 0.7809
83 P 0.4841 0.2191 0.1074
84 P 0.0218 0.2878 0.3975
85 Cd 0.8605 0.6566 0.2778
86 Cd 0.3434 0.7222 0.1395
87 Cd 0.7222 0.1395 0.3434
88 Cd 0.1395 0.3434 0.7222
89 Cd 0.2778 0.8605 0.6566
90 Cd 0.6566 0.2778 0.8605

No. 10
Material: YFeAg2
Method: DFT, meta-GGA SCAN
State: PBEsol geometry

The value obtained for the raw total energy is -26.950 eV/atom. As for the space group: Cmmm.

abc: 3.1824 4.9354 4.9354
angles: 111.45 90.00 90.00
Sites, in units of the cell vectors:
1 Fe 0.5000 0.0000 0.0000
2 Ag 0.0000 0.5000 0.0000
3 Ag 0.0000 0.0000 0.5000
4 Y 0.5000 0.5000 0.5000

No. 11
Material: AsCBr2
Method: DFT, meta-GGA SCAN
State: PBEsol geometry

The value obtained for the raw total energy is -15.364 eV/atom. As for the space group: Fm-3m. As for the uncorrected formation energy: 1.938 eV/atom.

abc: 4.6750 4.6750 4.6750
angles: 60.00 60.00 60.00
Sites, in units of the cell vectors:
1 Br 0.7500 0.7500 0.7500
2 Br 0.2500 0.2500 0.2500
3 As 0.5000 0.5000 0.5000
4 C 0.0000 0.0000 0.0000

No. 12
Material: K2SiW
Method: DFT, meta-GGA SCAN
State: PBEsol geometry

The value obtained for the raw total energy is -22.848 eV/atom. As for the space group: R-3m. As for the uncorrected formation energy: 1.242 eV/atom.

abc: 2.8748 2.8748 11.9325
angles: 83.08 83.08 60.00
Sites, in units of the cell vectors:
1 K 0.7534 0.7534 0.7399
2 K 0.2466 0.2466 0.2601
3 W 0.0000 0.0000 0.0000
4 Si 0.5000 0.5000 0.5000

No. 13
Material: CsK3Te
Method: DFT, meta-GGA SCAN
State: PBEsol geometry

The value obtained for the raw total energy is -19.702 eV/atom. As for the space group: Pm-3m. As for the uncorrected formation energy: 0.307 eV/atom.

abc: 7.1188 7.1188 7.1188
angles: 90.00 90.00 90.00
Sites, in units of the cell vectors:
1 K 0.0000 0.5000 0.0000
2 K 0.0000 0.0000 0.5000
3 K 0.5000 0.0000 0.0000
4 Cs 0.0000 0.0000 0.0000
5 Te 0.5000 0.5000 0.5000

No. 14
Material: SnBi2Sb
Method: DFT, meta-GGA SCAN
State: PBEsol geometry

The value obtained for the raw total energy is -57.361 eV/atom. As for the space group: Fm-3m. The calculation puts the energy above the most stable polymorph in this dataset at 0.000 eV/atom. As for the uncorrected formation energy: 0.225 eV/atom.

abc: 5.4337 5.4337 5.4337
angles: 60.00 60.00 60.00
Sites, in units of the cell vectors:
1 Bi 0.7500 0.7500 0.7500
2 Bi 0.2500 0.2500 0.2500
3 Sn 0.0000 0.0000 0.0000
4 Sb 0.5000 0.5000 0.5000

No. 15
Material: CdCuPt
Method: DFT, meta-GGA SCAN
State: PBEsol geometry

The value obtained for the raw total energy is -38.764 eV/atom. As for the space group: P3m1. The calculation puts the energy above the most stable polymorph in this dataset at 0.024 eV/atom.

abc: 2.8092 4.3432 4.3432
angles: 120.00 90.00 90.00
Sites, in units of the cell vectors:
1 Cu 0.5986 0.6667 0.3333
2 Pt 0.4259 0.3333 0.6667
3 Cd 0.9755 0.0000 0.0000

No. 16
Material: Be2PbO
Method: DFT, meta-GGA SCAN
State: PBEsol geometry

The value obtained for the raw total energy is -23.462 eV/atom. As for the space group: I-42d. As for the uncorrected formation energy: -0.782 eV/atom.

abc: 5.0548 5.5033 5.0548
angles: 62.66 90.00 117.34
Sites, in units of the cell vectors:
1 Be 0.2925 0.7500 0.8750
2 Be 0.4575 0.7500 0.3750
3 Be 0.8750 0.2500 0.4575
4 Be 0.3750 0.2500 0.2925
5 O 0.2500 0.5000 0.2500
6 O 0.5000 0.0000 0.5000
7 Pb 0.7500 0.5000 0.7500
8 Pb 0.0000 0.0000 0.0000

No. 17
Material: Mg3SnAs
Method: DFT, meta-GGA SCAN
State: PBEsol geometry

The value obtained for the raw total energy is -13.865 eV/atom. As for the space group: Pm-3m.

abc: 5.2029 5.2029 5.2029
angles: 90.00 90.00 90.00
Sites, in units of the cell vectors:
1 Mg 0.0000 0.5000 0.0000
2 Mg 0.0000 0.0000 0.5000
3 Mg 0.5000 0.0000 0.0000
4 Sn 0.0000 0.0000 0.0000
5 As 0.5000 0.5000 0.5000

No. 18
Material: Ag2Te4O11
Method: DFT, meta-GGA SCAN
State: PBEsol geometry

The value obtained for the raw total energy is -17.391 eV/atom. As for the space group: P-1. As for the uncorrected formation energy: -0.904 eV/atom.

abc: 7.3017 7.4183 9.5787
angles: 80.49 86.24 60.60
Sites, in units of the cell vectors:
1 O 0.3904 0.0086 0.3308
2 O 0.6036 0.6024 0.7673
3 O 0.2988 0.3200 0.4950
4 O 0.1425 0.3218 0.1155
5 O 0.8687 0.0588 0.8938
6 O 0.3055 0.0820 0.8889
7 O 0.6096 0.9914 0.6692
8 O 0.0154 0.7585 0.6157
9 O 0.0006 0.6182 0.2987
10 O 0.7496 0.3081 0.1317
11 O 0.3964 0.3976 0.2327
12 O 0.5885 0.6403 0.2590
13 O 0.7012 0.6800 0.5050
14 O 0.4115 0.3597 0.7410
15 O 0.9994 0.3818 0.7013
16 O 0.2228 0.9967 0.6353
17 O 0.8575 0.6782 0.8845
18 O 0.2504 0.6919 0.8683
19 O 0.1313 0.9412 0.1062
20 O 0.7772 0.0033 0.3647
21 O 0.6945 0.9180 0.1111
22 O 0.9846 0.2415 0.3843
23 Te 0.3071 0.1826 0.6905
24 Te 0.1952 0.3128 0.3122
25 Te 0.0045 0.2165 0.9961
26 Te 0.9955 0.7835 0.0039
27 Te 0.3265 0.6748 0.6733
28 Te 0.6735 0.3252 0.3267
29 Te 0.8048 0.6872 0.6878
30 Te 0.6929 0.8174 0.3095
31 Ag 0.4931 0.2746 0.9870
32 Ag 0.5069 0.7254 0.0130
33 Ag 0.1689 0.8394 0.3582
34 Ag 0.8311 0.1606 0.6418

No. 19
Material: Mg2AlIn
Method: DFT, meta-GGA SCAN
State: PBEsol geometry

The value obtained for the raw total energy is -12.809 eV/atom. As for the space group: Cm.

abc: 3.2207 5.2281 5.3158
angles: 99.80 107.63 90.00
Sites, in units of the cell vectors:
1 In 0.7535 0.2461 0.5071
2 Mg 0.0012 0.0041 0.0024
3 Mg 0.2455 0.7365 0.4910
4 Al 0.4998 0.5133 0.9995

No. 20
Material: SiPt2Pb
Method: DFT, meta-GGA SCAN
State: PBEsol geometry

The value obtained for the raw total energy is -56.985 eV/atom. As for the space group: Amm2. As for the uncorrected formation energy: -0.440 eV/atom.

abc: 3.3095 3.4966 6.7611
angles: 90.00 104.12 90.00
Sites, in units of the cell vectors:
1 Pb 0.5415 0.5000 0.2089
2 Pt 0.9210 0.0000 0.9670
3 Pt 0.7499 0.5000 0.6247
4 Si 0.2875 0.0000 0.6995